[1]
# Ac2Tl3Ga (PBE, optimized geometry)
data_Ac2Tl3Ga
_cell_length_a 4.641
_cell_length_b 4.852
_cell_length_c 8.484
_cell_angle_alpha 90.00
_cell_angle_beta 90.00
_cell_angle_gamma 90.00
_symmetry_space_group_name_H-M 'P m m 2'
_symmetry_Int_Tables_number 25
loop_
_symmetry_equiv_pos_as_xyz
'x,y,z'
'-x,-y,z'
'-x,y,z'
'x,-y,z'
loop_
_atom_site_label
_atom_site_type_symbol
_atom_site_fract_x
_atom_site_fract_y
_atom_site_fract_z
Ac1 Ac 0.000 0.000 0.000
Ac2 Ac 0.000 0.500 0.475
Tl1 Tl 0.500 0.000 0.636
Tl2 Tl 0.500 0.500 0.165
Tl3 Tl 0.500 0.500 0.821
Ga1 Ga 0.500 0.000 0.316
# Total magnetic moment, μB per formula unit: 0.0
# ΔE_f, meV/atom: -298



[2]
# LiSn2Te2 (PBE, optimized geometry)
data_LiSn2Te2
_cell_length_a 4.304
_cell_length_b 4.304
_cell_length_c 16.500
_cell_angle_alpha 90.00
_cell_angle_beta 90.00
_cell_angle_gamma 90.00
_symmetry_space_group_name_H-M 'I 4/m m m'
_symmetry_Int_Tables_number 139
_symmetry_space_group_name_Hall '-I 4 2'
loop_
_atom_site_label
_atom_site_type_symbol
_atom_site_fract_x
_atom_site_fract_y
_atom_site_fract_z
Li1 Li 0.000 0.000 0.000
Sn1 Sn 0.000 0.500 0.250
Te1 Te 0.000 0.000 0.409
# Total magnetic moment, μB per formula unit: 0.0
# Uncorrected formation energy, meV/atom: -162



| no. | D(E_F) (states/eV/f.u.) |
| --- | --- |
| 1 | 3.618 |
| 2 | 2.067 |